Model P:
HgBi2Pb | Alexandria via LeMat-Bulk | PBE | relaxed; D(E_F) = 2.500 states/eV/cell; crystal system = orthorhombic
1.0
3.6938 0.0000 0.0000
0.0000 4.3363 0.0000
0.0000 0.0000 7.5447
Hg Bi Pb
1 2 1
direct
0.0000 0.0000 0.0000 Hg
0.0000 0.0000 0.4950 Bi
0.5000 0.5000 0.2453 Bi
0.5000 0.5000 0.7636 Pb

***

Model Q:
HgBi2Pb | Alexandria via LeMat-Bulk | PBE | relaxed; D(E_F) = 1.683 states/eV/cell; crystal system = trigonal
1.0
2.5874 1.4938 5.9725
-2.5874 1.4938 5.9725
0.0000 -2.9876 5.9725
Hg Bi Pb
1 2 1
direct
0.0000 0.0000 0.0000 Hg
0.2196 0.2196 0.2196 Bi
0.3946 0.3946 0.3946 Bi
0.8129 0.8129 0.8129 Pb

***

In terms of stability, model P leads; the second structure lies 2.9 kJ/mol of atoms higher.

***

Model P:
HgBi2Pb | Alexandria via LeMat-Bulk | PBE | relaxed; D(E_F) = 2.424 states/eV/cell; crystal system = tetragonal
1.0
5.1009 0.0000 0.0000
0.0000 5.1009 0.0000
0.0000 0.0000 4.6569
Hg Bi Pb
1 2 1
direct
0.0000 0.0000 0.0000 Hg
0.0000 0.5000 0.5000 Bi
0.5000 0.0000 0.5000 Bi
0.5000 0.5000 0.0000 Pb

***

Model Q:
HgBi2Pb | Alexandria via LeMat-Bulk | PBE | relaxed; D(E_F) = 1.982 states/eV/cell; crystal system = trigonal
1.0
2.2361 1.2910 7.4202
-2.2361 1.2910 7.4202
0.0000 -2.5820 7.4202
Hg Bi Pb
1 2 1
direct
0.0000 0.0000 0.0000 Hg
0.2558 0.2558 0.2558 Bi
0.7442 0.7442 0.7442 Bi
0.5000 0.5000 0.5000 Pb

***

Model R:
HgBi2Pb | Alexandria via LeMat-Bulk | PBE | relaxed; D(E_F) = 3.183 states/eV/cell; crystal system = cubic
1.0
0.0000 3.9260 3.9260
3.9260 0.0000 3.9260
3.9260 3.9260 0.0000
Hg Bi Pb
1 2 1
direct
0.0000 0.0000 0.0000 Hg
0.2500 0.2500 0.2500 Bi
0.7500 0.7500 0.7500 Bi
0.5000 0.5000 0.5000 Pb

***

In terms of stability, model P leads; the second structure lies 1.5 kJ/mol of atoms higher.

***

Model P:
HgBi2Pb | Alexandria via LeMat-Bulk | PBE | relaxed; D(E_F) = 2.620 states/eV/cell; crystal system = orthorhombic
1.0
4.0183 -4.5180 0.0000
4.0183 4.5180 0.0000
0.0000 0.0000 6.8053
Hg Bi Pb
2 4 2
direct
0.2104 0.7896 0.7500 Hg
0.7896 0.2104 0.2500 Hg
0.2961 0.2961 0.0000 Bi
0.2961 0.2961 0.5000 Bi
0.7039 0.7039 0.0000 Bi
0.7039 0.7039 0.5000 Bi
0.2216 0.7784 0.2500 Pb
0.7784 0.2216 0.7500 Pb

***

Model Q:
HgBi2Pb | Alexandria via LeMat-Bulk | PBE | relaxed; D(E_F) = 1.779 states/eV/cell; crystal system = tetragonal
1.0
-3.4689 3.4689 6.9012
3.4689 -3.4689 6.9012
3.4689 3.4689 -6.9012
Hg Bi Pb
2 4 2
direct
0.0000 0.0000 0.0000 Hg
0.7500 0.2500 0.5000 Hg
0.1112 0.6250 0.9862 Bi
0.3750 0.3612 0.4862 Bi
0.6388 0.1250 0.0138 Bi
0.8750 0.8888 0.5138 Bi
0.2500 0.7500 0.5000 Pb
0.5000 0.5000 0.0000 Pb

***

In terms of stability, model P leads; the second structure lies 11.4 kJ/mol of atoms higher.

***

Model P:
HgBi2Pb2 | Alexandria via LeMat-Bulk | PBE | relaxed; D(E_F) = 1.991 states/eV/cell; crystal system = triclinic
1.0
5.1539 0.0000 0.0000
2.5003 5.1304 0.0000
2.3961 0.8645 5.8413
Hg Bi Pb
1 2 2
direct
0.0000 0.0000 0.0000 Hg
0.2020 0.1992 0.3924 Bi
0.7980 0.8008 0.6076 Bi
0.3952 0.3874 0.8183 Pb
0.6048 0.6126 0.1817 Pb

***

Model Q:
HgBi2Pb2 | Alexandria via LeMat-Bulk | PBE | relaxed; D(E_F) = 1.381 states/eV/cell; crystal system = tetragonal
1.0
-2.6914 2.6914 6.6348
2.6914 -2.6914 6.6348
2.6914 2.6914 -6.6348
Hg Bi Pb
1 2 2
direct
0.0000 0.0000 0.0000 Hg
0.3822 0.3822 0.0000 Bi
0.6178 0.6178 0.0000 Bi
0.2500 0.7500 0.5000 Pb
0.7500 0.2500 0.5000 Pb

***

In terms of stability, model P leads; the second structure lies 5.1 kJ/mol of atoms higher.

***

Model P:
Hg2Bi3Pb8 | Alexandria via LeMat-Bulk | PBE | relaxed; D(E_F) = 5.641 states/eV/cell; crystal system = monoclinic
1.0
6.3389 -5.7867 0.0000
6.3389 5.7867 0.0000
-2.1896 0.0000 5.6012
Hg Bi Pb
2 3 8
direct
0.0682 0.0682 0.2601 Hg
0.9318 0.9318 0.7399 Hg
0.2494 0.7506 0.5000 Bi
0.5000 0.5000 0.0000 Bi
0.7506 0.2494 0.5000 Bi
0.1042 0.6024 0.8759 Pb
0.2027 0.2027 0.8072 Pb
0.3542 0.3542 0.4106 Pb
0.3976 0.8958 0.1241 Pb
0.6024 0.1042 0.8759 Pb
0.6458 0.6458 0.5894 Pb
0.7973 0.7973 0.1928 Pb
0.8958 0.3976 0.1241 Pb

***

Model Q:
Hg2Bi3Pb8 | Alexandria via LeMat-Bulk | PBE | relaxed; D(E_F) = 10.259 states/eV/cell; crystal system = monoclinic
1.0
12.8431 0.0000 0.0000
0.0000 4.8258 0.0000
-0.0142 0.0000 13.5031
Hg Bi Pb
4 6 16
direct
0.1004 0.0000 0.2312 Hg
0.3986 0.0000 0.7314 Hg
0.6014 0.0000 0.2686 Hg
0.8996 0.0000 0.7688 Hg
0.0000 0.5000 0.0000 Bi
0.1404 0.5000 0.3966 Bi
0.3592 0.5000 0.8969 Bi
0.5000 0.5000 0.5000 Bi
0.6408 0.5000 0.1031 Bi
0.8596 0.5000 0.6034 Bi
0.0703 0.5000 0.7632 Pb
0.0993 0.0000 0.5733 Pb
0.1730 0.0000 0.9282 Pb
0.2192 0.5000 0.1228 Pb
0.2808 0.5000 0.6220 Pb
0.3269 0.0000 0.4272 Pb
0.4009 0.0000 0.0735 Pb
0.4309 0.5000 0.2629 Pb
0.5691 0.5000 0.7371 Pb
0.5991 0.0000 0.9265 Pb
0.6731 0.0000 0.5728 Pb
0.7192 0.5000 0.3780 Pb
0.7808 0.5000 0.8772 Pb
0.8270 0.0000 0.0718 Pb
0.9007 0.0000 0.4267 Pb
0.9297 0.5000 0.2368 Pb

***

In terms of stability, model P leads; the second structure lies 0.5 kJ/mol of atoms higher.

***

Model P:
Hg2BiPb8 | Alexandria via LeMat-Bulk | PBE | relaxed; D(E_F) = 4.956 states/eV/cell; crystal system = monoclinic
1.0
7.5191 -4.4212 0.0000
7.5191 4.4212 0.0000
-1.6245 0.0000 5.5863
Hg Bi Pb
2 1 8
direct
0.1433 0.1433 0.4947 Hg
0.8567 0.8567 0.5053 Hg
0.0000 0.0000 0.0000 Bi
0.2202 0.6302 0.2224 Pb
0.2321 0.2321 0.0447 Pb
0.3698 0.7798 0.7776 Pb
0.3771 0.3771 0.6872 Pb
0.6229 0.6229 0.3128 Pb
0.6302 0.2202 0.2224 Pb
0.7679 0.7679 0.9553 Pb
0.7798 0.3698 0.7776 Pb

***

Model Q:
Hg2BiPb8 | Alexandria via LeMat-Bulk | PBE | relaxed; D(E_F) = 5.251 states/eV/cell; crystal system = monoclinic
1.0
9.1895 -2.3773 0.0000
9.1895 2.3773 0.0000
-2.3925 0.0000 7.6848
Hg Bi Pb
2 1 8
direct
0.2277 0.2277 0.1352 Hg
0.7723 0.7723 0.8648 Hg
0.5000 0.5000 0.5000 Bi
0.0431 0.0431 0.2272 Pb
0.1413 0.1413 0.6884 Pb
0.3175 0.3175 0.5922 Pb
0.4038 0.4038 0.0371 Pb
0.5962 0.5962 0.9629 Pb
0.6825 0.6825 0.4078 Pb
0.8587 0.8587 0.3116 Pb
0.9569 0.9569 0.7728 Pb

***

In terms of stability, model Q leads; the second structure lies 9.2 kJ/mol of atoms higher.

***

Model P:
Hg3Bi2Pb8 | Alexandria via LeMat-Bulk | PBE | relaxed; D(E_F) = 4.863 states/eV/cell; crystal system = monoclinic
1.0
7.5375 -4.2602 0.0000
7.5375 4.2602 0.0000
-2.0701 0.0000 7.2290
Hg Bi Pb
3 2 8
direct
0.0000 0.0000 0.0000 Hg
0.3223 0.6777 0.5000 Hg
0.6777 0.3223 0.5000 Hg
0.2918 0.2918 0.7994 Bi
0.7082 0.7082 0.2006 Bi
0.0871 0.6436 0.1161 Pb
0.0987 0.0987 0.4360 Pb
0.3097 0.3097 0.3694 Pb
0.3564 0.9129 0.8839 Pb
0.6436 0.0871 0.1161 Pb
0.6903 0.6903 0.6306 Pb
0.9013 0.9013 0.5640 Pb
0.9129 0.3564 0.8839 Pb

***

Model Q:
Hg3Bi2Pb8 | Alexandria via LeMat-Bulk | PBE | relaxed; D(E_F) = 6.054 states/eV/cell; crystal system = monoclinic
1.0
8.5540 -4.3588 0.0000
8.5540 4.3588 0.0000
-1.6021 0.0000 5.6605
Hg Bi Pb
3 2 8
direct
0.0000 0.0000 0.0000 Hg
0.1820 0.8180 0.5000 Hg
0.8180 0.1820 0.5000 Hg
0.2641 0.2641 0.2519 Bi
0.7359 0.7359 0.7481 Bi
0.1464 0.5690 0.7214 Pb
0.1671 0.1671 0.6834 Pb
0.4310 0.8536 0.2786 Pb
0.4507 0.4507 0.2149 Pb
0.5493 0.5493 0.7851 Pb
0.5690 0.1464 0.7214 Pb
0.8329 0.8329 0.3166 Pb
0.8536 0.4310 0.2786 Pb

***

In terms of stability, model Q leads; the second structure lies 5.2 kJ/mol of atoms higher.

***

Model P:
Hg3BiPb | Alexandria via LeMat-Bulk | PBE | relaxed; D(E_F) = 3.335 states/eV/cell; crystal system = triclinic
1.0
5.5619 0.0000 0.0000
0.0188 6.2967 0.0000
2.7504 0.3034 8.4916
Hg Bi Pb
6 2 2
direct
0.0000 0.0000 0.0000 Hg
0.0000 0.5000 0.0000 Hg
0.1922 0.3614 0.6145 Hg
0.4007 0.4987 0.2017 Hg
0.5993 0.5013 0.7983 Hg
0.8078 0.6386 0.3855 Hg
0.3942 0.9987 0.2148 Bi
0.6058 0.0013 0.7852 Bi
0.2016 0.8586 0.5951 Pb
0.7984 0.1414 0.4049 Pb

***

Model Q:
Hg3BiPb | Alexandria via LeMat-Bulk | PBE | relaxed; D(E_F) = 5.288 states/eV/cell; crystal system = cubic
1.0
5.7701 0.0000 0.0000
0.0000 5.7701 0.0000
0.0000 0.0000 5.7701
Hg Bi Pb
3 1 1
direct
0.0000 0.0000 0.5000 Hg
0.0000 0.5000 0.0000 Hg
0.5000 0.0000 0.0000 Hg
0.0000 0.0000 0.0000 Bi
0.5000 0.5000 0.5000 Pb

***

In terms of stability, model P leads; the second structure lies 40.4 kJ/mol of atoms higher.